[1]
The following is a DFT calculation (PBE) of a relaxed TbThCo3 crystal.

Output
Crystal system = orthorhombic
ΔH_f (0 K) = -20.73 kJ per mole of atoms
Spin magnetization = 3.0 μB/cell
DOS(E_F) = 26.378 states/eV per cell

Cell: 3.954 24.090 3.962 Å, 90.00 90.00 90.00°
Space group Cmcm (No. 63)
Unique sites:
Tb 0.000 0.204 0.250 x4
Th 0.000 0.071 0.750 x4
Co 0.000 0.332 0.250 x4
Co 0.000 0.379 0.750 x4
Co 0.000 0.476 0.750 x4

=====

[2]
The following is a DFT calculation (PBE) of a relaxed Dy8OsRu2 crystal.

Output
Crystal system = monoclinic
Energy relative to the lowest polymorph listed for this composition = 0.059 eV/atom
ΔH_f (0 K) = -18.50 kJ per mole of atoms
Spin magnetization = 0.0 μB/cell
DOS(E_F) = 19.714 states/eV per cell

Cell: 8.277 12.620 5.877 Å, 90.00 109.81 90.00°
Space group Cm (No. 8)
Unique sites:
Dy 0.000 0.000 0.000 x2
Dy 0.063 0.372 0.772 x4
Dy 0.152 0.128 0.582 x4
Dy 0.215 0.500 0.375 x2
Dy 0.351 0.213 0.183 x4
Os 0.357 0.000 0.322 x2
Ru 0.364 0.310 0.693 x4

=====

Question: Number 2 is which compound?
Answer: Dy8OsRu2